*a*
CoSn2H | PBE-GGA | relaxed

It has space group Fm-3m (No. 225), with a = 6.261 Å, b = 6.261 Å, c = 6.261 Å, α = 90.00°, β = 90.00° and γ = 90.00°. The distinct sites, in fractional coordinates, are Co at (0.000, 0.000, 0.000), Sn at (0.250, 0.250, 0.250) and H at (0.000, 0.000, 0.500).

The value obtained for the spin magnetization is 0.0 μB/cell. The density comes out at 8.05 Mg/m³.

---

*b*
CoSn2H | PBE-GGA | relaxed

It has space group I-42d (No. 122), with a = 4.899 Å, b = 4.899 Å, c = 12.656 Å, α = 90.00°, β = 90.00° and γ = 90.00°. The distinct sites, in fractional coordinates, are Co at (0.000, 0.000, 0.000), Sn at (0.204, 0.250, 0.625) and H at (0.000, 0.000, 0.500).

The value obtained for the spin magnetization is 0.0 μB/cell. The density comes out at 6.50 Mg/m³.

---

Sorted by energy, starting with the most stable: *a*, *b*.

---

*a*
VCo2SnH | PBE-GGA | relaxed

It has space group P4/mmm (No. 123), with a = 4.127 Å, b = 4.127 Å, c = 5.321 Å, α = 90.00°, β = 90.00° and γ = 90.00°. The distinct sites, in fractional coordinates, are V at (0.000, 0.000, 0.000), Co at (0.000, 0.500, 0.000), Sn at (0.000, 0.000, 0.500) and H at (0.500, 0.500, 0.500).

The value obtained for the spin magnetization is 0.0 μB/cell. The density comes out at 5.29 Mg/m³.

---

*b*
VCo2SnH | PBE-GGA | relaxed

It has space group P4/mmm (No. 123), with a = 3.911 Å, b = 3.911 Å, c = 3.720 Å, α = 90.00°, β = 90.00° and γ = 90.00°. The distinct sites, in fractional coordinates, are V at (0.000, 0.000, 0.000), Co at (0.000, 0.500, 0.500), Sn at (0.500, 0.500, 0.000) and H at (0.000, 0.000, 0.500).

The value obtained for the spin magnetization is 3.0 μB/cell. The density comes out at 8.42 Mg/m³.

---

Sorted by energy, starting with the most stable: *b*, *a*.

---

*a*
SrCo3H | PBE-GGA | relaxed

It has space group Pm-3m (No. 221), with a = 4.008 Å, b = 4.008 Å, c = 4.008 Å, α = 90.00°, β = 90.00° and γ = 90.00°. The distinct sites, in fractional coordinates, are Sr at (0.000, 0.000, 0.000), Co at (0.000, 0.500, 0.500) and H at (0.500, 0.500, 0.500).

The value obtained for the spin magnetization is 3.5 μB/cell. The density comes out at 6.84 Mg/m³.

---

*b*
SrCo3H | PBE-GGA | relaxed

It has space group Pm-3m (No. 221), with a = 4.940 Å, b = 4.940 Å, c = 4.940 Å, α = 90.00°, β = 90.00° and γ = 90.00°. The distinct sites, in fractional coordinates, are Sr at (0.000, 0.000, 0.000), Co at (0.000, 0.000, 0.500) and H at (0.500, 0.500, 0.500).

The value obtained for the spin magnetization is 4.0 μB/cell. The density comes out at 3.66 Mg/m³.

---

Sorted by energy, starting with the most stable: *a*, *b*.

---

*a*
Sr2CoH2 | PBE-GGA | relaxed

It has space group I4/mmm (No. 139), with a = 3.918 Å, b = 3.918 Å, c = 13.555 Å, α = 90.00°, β = 90.00° and γ = 90.00°. The distinct sites, in fractional coordinates, are Sr at (0.000, 0.000, 0.143), Co at (0.000, 0.000, 0.500) and H at (0.000, 0.500, 0.250).

The value obtained for the spin magnetization is 2.2 μB/cell. The density comes out at 3.77 Mg/m³.

---

*b*
Sr2CoH2 | PBE-GGA | relaxed

It has space group P4/mbm (No. 127), with a = 7.226 Å, b = 7.226 Å, c = 3.369 Å, α = 90.00°, β = 90.00° and γ = 90.00°. The distinct sites, in fractional coordinates, are Sr at (0.180, 0.320, 0.000), Co at (0.000, 0.000, 0.500) and H at (0.127, 0.627, 0.500).

The value obtained for the spin magnetization is 2.0 μB/cell. The density comes out at 4.46 Mg/m³.

---

Sorted by energy, starting with the most stable: *a*, *b*.

---

*a*
TaCoH2 | PBE-GGA | relaxed

It has space group I-42d (No. 122), with a = 3.942 Å, b = 3.942 Å, c = 8.881 Å, α = 90.00°, β = 90.00° and γ = 90.00°. The distinct sites, in fractional coordinates, are Ta at (0.000, 0.000, 0.000), Co at (0.000, 0.000, 0.500) and H at (0.183, 0.250, 0.625).

The value obtained for the spin magnetization is 3.2 μB/cell. The density comes out at 11.64 Mg/m³.

---

*b*
TaCoH2 | PBE-GGA | relaxed

It has space group Cmcm (No. 63), with a = 3.848 Å, b = 9.654 Å, c = 3.642 Å, α = 90.00°, β = 90.00° and γ = 90.00°. The distinct sites, in fractional coordinates, are Ta at (0.000, 0.126, 0.250), Co at (0.000, 0.422, 0.250) and H at (0.222, 0.196, 0.750).

The value obtained for the spin magnetization is 1.0 μB/cell. The density comes out at 11.87 Mg/m³.

---

Sorted by energy, starting with the most stable: *b*, *a*.

---

*a*
TaCoH2 | PBE-GGA | relaxed

It has space group Fm-3m (No. 225), with a = 5.123 Å, b = 5.123 Å, c = 5.123 Å, α = 90.00°, β = 90.00° and γ = 90.00°. The distinct sites, in fractional coordinates, are Ta at (0.000, 0.000, 0.000), Co at (0.000, 0.000, 0.500) and H at (0.250, 0.250, 0.250).

The value obtained for the spin magnetization is 3.3 μB/cell. The density comes out at 11.95 Mg/m³.

---

*b*
TaCoH2 | PBE-GGA | relaxed

It has space group R-3m (No. 166, hexagonal axes), with a = 2.8567 Å, b = 2.8567 Å, c = 14.5122 Å, α = 90.00°, β = 90.00° and γ = 120.00°. The distinct sites, in fractional coordinates, are Ta at (0.0000, 0.0000, 0.0000), Co at (0.0000, 0.0000, 0.5000) and H at (0.0000, 0.0000, 0.1336).

The value obtained for the spin magnetization is 0.0 μB/cell. The density comes out at 11.75 Mg/m³.

---

*c*
TaCoH2 | PBE-GGA | relaxed

It has space group R3m (No. 160, hexagonal axes), with a = 2.9360 Å, b = 2.9360 Å, c = 14.1091 Å, α = 90.00°, β = 90.00° and γ = 120.00°. The distinct sites, in fractional coordinates, are Ta at (0.0000, 0.0000, 0.0000), Co at (0.0000, 0.0000, 0.4806), H at (0.0000, 0.0000, 0.1431) and H at (0.0000, 0.0000, 0.5980).

The value obtained for the spin magnetization is 0.0 μB/cell. The density comes out at 11.44 Mg/m³.

---

Sorted by energy, starting with the most stable: *c*, *b*, *a*.